(1)
A geometry-optimized LiSnAuSe2S structure, computed with PBE.

```
data_LiSnAuSe2S
_chemical_formula_sum 'Li2 Sn2 Au2 Se4 S2'
_cell_length_a 7.116
_cell_length_b 7.116
_cell_length_c 10.234
_cell_angle_alpha 90.00
_cell_angle_beta 90.00
_cell_angle_gamma 147.82
_symmetry_space_group_name_H-M 'P 1'
_symmetry_Int_Tables_number 1
loop_
_symmetry_equiv_pos_as_xyz
'x,y,z'
loop_
_atom_site_label
_atom_site_type_symbol
_atom_site_fract_x
_atom_site_fract_y
_atom_site_fract_z
Au1 Au 0.338 0.662 0.250
Au2 Au 0.662 0.338 0.750
Li1 Li 0.663 0.337 0.250
Li2 Li 0.337 0.663 0.750
S1 S 0.057 0.943 0.250
S2 S 0.943 0.057 0.750
Se1 Se 0.359 0.641 0.015
Se2 Se 0.359 0.641 0.485
Se3 Se 0.641 0.359 0.515
Se4 Se 0.641 0.359 0.985
Sn1 Sn 0.000 0.000 0.000
Sn2 Sn 0.000 0.000 0.500
```

Computed properties:
V: 276.0 Å³/cell
total DFT energy (no corrections): -3.824 eV per atom

(2)
A geometry-optimized LiTaAuSeS2 structure, computed with PBE.

```
data_LiTaAuSeS2
_chemical_formula_sum 'Li2 Ta2 Au2 Se2 S4'
_cell_length_a 6.821
_cell_length_b 6.821
_cell_length_c 9.971
_cell_angle_alpha 90.00
_cell_angle_beta 90.00
_cell_angle_gamma 150.42
_symmetry_space_group_name_H-M 'P 1'
_symmetry_Int_Tables_number 1
loop_
_symmetry_equiv_pos_as_xyz
'x,y,z'
loop_
_atom_site_label
_atom_site_type_symbol
_atom_site_fract_x
_atom_site_fract_y
_atom_site_fract_z
Au1 Au 0.083 0.917 0.250
Au2 Au 0.917 0.083 0.750
Li1 Li 0.752 0.248 0.250
Li2 Li 0.248 0.752 0.750
S1 S 0.134 0.866 0.025
S2 S 0.134 0.866 0.475
S3 S 0.866 0.134 0.525
S4 S 0.866 0.134 0.975
Se1 Se 0.408 0.592 0.250
Se2 Se 0.592 0.408 0.750
Ta1 Ta 0.500 0.500 0.000
Ta2 Ta 0.500 0.500 0.500
```

Computed properties:
V: 229.0 Å³/cell
total DFT energy (no corrections): -5.383 eV per atom

(3)
A geometry-optimized LiTcAuSeS2 structure, computed with PBE.

```
data_LiTcAuSeS2
_chemical_formula_sum 'Li2 Tc2 Au2 Se2 S4'
_cell_length_a 7.286
_cell_length_b 7.286
_cell_length_c 9.870
_cell_angle_alpha 90.00
_cell_angle_beta 90.00
_cell_angle_gamma 154.62
_symmetry_space_group_name_H-M 'P 1'
_symmetry_Int_Tables_number 1
loop_
_symmetry_equiv_pos_as_xyz
'x,y,z'
loop_
_atom_site_label
_atom_site_type_symbol
_atom_site_fract_x
_atom_site_fract_y
_atom_site_fract_z
Au1 Au 0.651 0.349 0.250
Au2 Au 0.349 0.651 0.750
Li1 Li 0.303 0.697 0.250
Li2 Li 0.697 0.303 0.750
S1 S 0.628 0.372 0.016
S2 S 0.628 0.372 0.484
S3 S 0.372 0.628 0.516
S4 S 0.372 0.628 0.984
Se1 Se 0.950 0.050 0.250
Se2 Se 0.050 0.950 0.750
Tc1 Tc 0.000 0.000 0.000
Tc2 Tc 0.000 0.000 0.500
```

Computed properties:
V: 224.5 Å³/cell
total DFT energy (no corrections): -4.874 eV per atom

(4)
A geometry-optimized LiTcAuSe2S structure, computed with PBE.

```
data_LiTcAuSe2S
_chemical_formula_sum 'Li2 Tc2 Au2 Se4 S2'
_cell_length_a 7.505
_cell_length_b 7.505
_cell_length_c 9.704
_cell_angle_alpha 90.00
_cell_angle_beta 90.00
_cell_angle_gamma 155.14
_symmetry_space_group_name_H-M 'P 1'
_symmetry_Int_Tables_number 1
loop_
_symmetry_equiv_pos_as_xyz
'x,y,z'
loop_
_atom_site_label
_atom_site_type_symbol
_atom_site_fract_x
_atom_site_fract_y
_atom_site_fract_z
Au1 Au 0.825 0.175 0.250
Au2 Au 0.175 0.825 0.750
Li1 Li 0.165 0.835 0.250
Li2 Li 0.835 0.165 0.750
S1 S 0.528 0.472 0.250
S2 S 0.472 0.528 0.750
Se1 Se 0.865 0.135 0.007
Se2 Se 0.865 0.135 0.493
Se3 Se 0.135 0.865 0.507
Se4 Se 0.135 0.865 0.993
Tc1 Tc 0.500 0.500 0.000
Tc2 Tc 0.500 0.500 0.500
```

Computed properties:
V: 229.8 Å³/cell
total DFT energy (no corrections): -4.701 eV per atom

(5)
A geometry-optimized LiWAuSe2S structure, computed with PBE.

```
data_LiWAuSe2S
_chemical_formula_sum 'Li2 W2 Au2 Se4 S2'
_cell_length_a 7.351
_cell_length_b 7.351
_cell_length_c 9.498
_cell_angle_alpha 90.00
_cell_angle_beta 90.00
_cell_angle_gamma 152.85
_symmetry_space_group_name_H-M 'P 1'
_symmetry_Int_Tables_number 1
loop_
_symmetry_equiv_pos_as_xyz
'x,y,z'
loop_
_atom_site_label
_atom_site_type_symbol
_atom_site_fract_x
_atom_site_fract_y
_atom_site_fract_z
Au1 Au 0.200 0.800 0.250
Au2 Au 0.800 0.200 0.750
Li1 Li 0.860 0.140 0.250
Li2 Li 0.140 0.860 0.750
S1 S 0.490 0.510 0.250
S2 S 0.510 0.490 0.750
Se1 Se 0.136 0.864 0.008
Se2 Se 0.136 0.864 0.492
Se3 Se 0.864 0.136 0.508
Se4 Se 0.864 0.136 0.992
W1 W 0.500 0.500 0.000
W2 W 0.500 0.500 0.500
```

Computed properties:
V: 234.2 Å³/cell
total DFT energy (no corrections): -5.154 eV per atom

(6)
A geometry-optimized LiSnAu3S4 structure, computed with PBE.

```
data_LiSnAu3S4
_chemical_formula_sum 'Li1 Sn1 Au3 S4'
_cell_length_a 5.899
_cell_length_b 5.899
_cell_length_c 5.899
_cell_angle_alpha 90.00
_cell_angle_beta 90.00
_cell_angle_gamma 90.00
_symmetry_space_group_name_H-M 'P 1'
_symmetry_Int_Tables_number 1
loop_
_symmetry_equiv_pos_as_xyz
'x,y,z'
loop_
_atom_site_label
_atom_site_type_symbol
_atom_site_fract_x
_atom_site_fract_y
_atom_site_fract_z
Au1 Au 0.500 0.500 0.000
Au2 Au 0.500 0.000 0.500
Au3 Au 0.000 0.500 0.500
Li1 Li 0.000 0.000 0.000
S1 S 0.237 0.237 0.237
S2 S 0.763 0.763 0.237
S3 S 0.763 0.237 0.763
S4 S 0.237 0.763 0.763
Sn1 Sn 0.500 0.500 0.500
```

Computed properties:
V: 205.2 Å³/cell
excess energy over the best structure of this formula in the dataset: 134 meV/atom
total DFT energy (no corrections): -3.596 eV per atom

(7)
A geometry-optimized LiSnAu3S4 structure, computed with PBE.

```
data_LiSnAu3S4
_chemical_formula_sum 'Li2 Sn2 Au6 S8'
_cell_length_a 5.506
_cell_length_b 8.028
_cell_length_c 9.192
_cell_angle_alpha 90.00
_cell_angle_beta 91.45
_cell_angle_gamma 90.00
_symmetry_space_group_name_H-M 'P 1'
_symmetry_Int_Tables_number 1
loop_
_symmetry_equiv_pos_as_xyz
'x,y,z'
loop_
_atom_site_label
_atom_site_type_symbol
_atom_site_fract_x
_atom_site_fract_y
_atom_site_fract_z
Au1 Au 0.211 0.577 0.087
Au2 Au 0.211 0.923 0.087
Au3 Au 0.259 0.750 0.421
Au4 Au 0.741 0.250 0.579
Au5 Au 0.789 0.077 0.913
Au6 Au 0.789 0.423 0.913
Li1 Li 0.756 0.250 0.262
Li2 Li 0.244 0.750 0.738
S1 S 0.055 0.250 0.063
S2 S 0.488 0.506 0.282
S3 S 0.488 0.994 0.282
S4 S 0.104 0.250 0.443
S5 S 0.896 0.750 0.557
S6 S 0.512 0.006 0.718
S7 S 0.512 0.494 0.718
S8 S 0.945 0.750 0.937
Sn1 Sn 0.778 0.750 0.292
Sn2 Sn 0.222 0.250 0.708
```

Computed properties:
V: 406.2 Å³/cell
excess energy over the best structure of this formula in the dataset: 0 meV/atom
total DFT energy (no corrections): -3.729 eV per atom

(8)
A geometry-optimized LiSnAuS3 structure, computed with PBE.

```
data_LiSnAuS3
_chemical_formula_sum 'Li2 Sn2 Au2 S6'
_cell_length_a 3.782
_cell_length_b 6.951
_cell_length_c 9.929
_cell_angle_alpha 90.00
_cell_angle_beta 90.00
_cell_angle_gamma 74.21
_symmetry_space_group_name_H-M 'P 1'
_symmetry_Int_Tables_number 1
loop_
_symmetry_equiv_pos_as_xyz
'x,y,z'
loop_
_atom_site_label
_atom_site_type_symbol
_atom_site_fract_x
_atom_site_fract_y
_atom_site_fract_z
Au1 Au 0.656 0.689 0.250
Au2 Au 0.344 0.311 0.750
Li1 Li 0.326 0.349 0.250
Li2 Li 0.674 0.651 0.750
S1 S 0.636 0.727 0.019
S2 S 0.939 0.122 0.250
S3 S 0.636 0.727 0.481
S4 S 0.364 0.273 0.519
S5 S 0.061 0.878 0.750
S6 S 0.364 0.273 0.981
Sn1 Sn 0.000 0.000 0.000
Sn2 Sn 0.000 0.000 0.500
```

Computed properties:
V: 251.2 Å³/cell
excess energy over the best structure of this formula in the dataset: 0 meV/atom
total DFT energy (no corrections): -4.065 eV per atom

(9)
A geometry-optimized LiSnAuS3 structure, computed with PBE.

```
data_LiSnAuS3
_chemical_formula_sum 'Li4 Sn4 Au4 S12'
_cell_length_a 3.767
_cell_length_b 9.505
_cell_length_c 13.631
_cell_angle_alpha 90.00
_cell_angle_beta 90.00
_cell_angle_gamma 90.00
_symmetry_space_group_name_H-M 'P 1'
_symmetry_Int_Tables_number 1
loop_
_symmetry_equiv_pos_as_xyz
'x,y,z'
loop_
_atom_site_label
_atom_site_type_symbol
_atom_site_fract_x
_atom_site_fract_y
_atom_site_fract_z
Au1 Au 0.250 0.762 0.216
Au2 Au 0.750 0.262 0.284
Au3 Au 0.250 0.738 0.716
Au4 Au 0.750 0.238 0.784
Li1 Li 0.750 0.007 0.120
Li2 Li 0.250 0.507 0.380
Li3 Li 0.750 0.493 0.620
Li4 Li 0.250 0.993 0.880
S1 S 0.250 0.826 0.050
S2 S 0.750 0.488 0.112
S3 S 0.250 0.173 0.175
S4 S 0.750 0.673 0.325
S5 S 0.250 0.988 0.388
S6 S 0.750 0.326 0.450
S7 S 0.250 0.674 0.550
S8 S 0.750 0.012 0.612
S9 S 0.250 0.327 0.675
S10 S 0.750 0.827 0.825
S11 S 0.250 0.512 0.888
S12 S 0.750 0.174 0.950
Sn1 Sn 0.250 0.335 0.031
Sn2 Sn 0.750 0.835 0.469
Sn3 Sn 0.250 0.165 0.531
Sn4 Sn 0.750 0.665 0.969
```

Computed properties:
V: 488.0 Å³/cell
excess energy over the best structure of this formula in the dataset: 15 meV/atom
total DFT energy (no corrections): -4.050 eV per atom